The following is a DFT calculation (GGA-PBE) of an optimized crystal structure of K4Hg10Pd3.

Output
The value obtained for the formation energy is -231 meV/atom. As for the total energy: -1.583 eV per atom. Its space group is I4/mmm, No. 139.

a b c (Å): 5.3751 5.3751 19.6672
angles (deg): 97.85 97.85 90.00
Element x y z (fractional)
K 0.5673 0.5673 0.1345
K 0.4327 0.4327 0.8655
K 0.3014 0.3014 0.6029
K 0.6986 0.6986 0.3971
Hg 0.1371 0.6371 0.2741
Hg 0.0699 0.0699 0.1398
Hg 0.6371 0.1371 0.2741
Hg 0.8629 0.3629 0.7259
Hg 0.3629 0.8629 0.7259
Hg 0.9301 0.9301 0.8602
Hg 0.2117 0.2117 0.4235
Hg 0.7883 0.7883 0.5765
Hg 0.0000 0.5000 0.0000
Hg 0.5000 0.0000 0.0000
Pd 0.1400 0.1400 0.2801
Pd 0.8600 0.8600 0.7199
Pd 0.0000 0.0000 0.0000


The following is a DFT calculation (GGA-PBE) of an optimized crystal structure of K2Hg2Pd3.

Output
The value obtained for the formation energy is -126 meV/atom. As for the total energy: -2.751 eV per atom. Its space group is C2/m, No. 12.

a b c (Å): 4.7119 6.2598 7.2827
angles (deg): 118.57 90.00 112.11
Element x y z (fractional)
K 0.8325 0.6650 0.2165
K 0.1675 0.3350 0.7835
Hg 0.8709 0.7419 0.7443
Hg 0.1291 0.2581 0.2557
Pd 0.5000 0.0000 0.0000
Pd 0.5874 0.1747 0.4277
Pd 0.4126 0.8253 0.5723